Material: Ca2ZrIr
Method: DFT, PBE-GGA
State: relaxed

Summary:
The formation energy is -0.189 eV/atom. Its crystal system is orthorhombic. The excess energy over the best structure of this formula in the dataset comes out at 0.0877 eV/atom. For the calculated density, the calculation gives 5.1 g/cm3. Its total energy is -22.2 eV per formula unit.

abc: 8.6593 8.6593 8.6593
angles: 157.87 151.12 36.68
Positions (direct):
Ca: 0.1568 0.1568 0.0000
Ca: 0.8432 0.8432 0.0000
Zr: 0.5000 0.0000 0.5000
Ir: 0.0000 0.5000 0.5000